1.
CrTeSe2 PBE-GGA optimized geometry; calculated volume = 22.25 Å³/atom; N(E_F) = 0.62 states/eV per atom; raw formation energy = -0.180 eV per atom; space-group type = R-3m (166)
1.0
1.6066 0.9276 9.9551
-1.6066 0.9276 9.9551
0.0000 -1.8552 9.9551
Cr Te Se
1 1 2
Cartesian
0.0000 0.0000 0.0000
0.0000 0.0000 14.9327
0.0000 0.0000 8.3638
0.0000 0.0000 21.5016

2.
CrTeSe4 PBE-GGA optimized geometry; calculated volume = 22.50 Å³/atom; N(E_F) = 0.87 states/eV per atom; raw formation energy = 0.713 eV per atom; space-group type = F-43m (216)
1.0
0.0000 4.0716 4.0716
4.0716 0.0000 4.0716
4.0716 4.0716 0.0000
Cr Te Se
1 1 4
Cartesian
0.0000 0.0000 0.0000
2.0358 2.0358 2.0358
5.0981 3.0452 3.0452
3.0452 5.0981 3.0452
3.0452 3.0452 5.0981
5.0981 5.0981 5.0981

3.
CrTe2Se PBE-GGA optimized geometry; calculated volume = 25.00 Å³/atom; N(E_F) = 0.54 states/eV per atom; raw formation energy = 0.043 eV per atom; space-group type = P4mm (99)
1.0
3.0665 0.0000 0.0000
0.0000 3.0665 0.0000
0.0000 0.0000 10.6332
Cr Te Se
1 2 1
Cartesian
0.0000 0.0000 0.0000
0.0000 0.0000 5.1582
1.5333 1.5333 8.8956
1.5333 1.5333 1.4014